# 1
This record from the Alexandria database describes crystalline CoReHOsO at its relaxed geometry. The functional is PBE with a Hubbard U.

Summary:
DOS at the Fermi energy, states/eV/f.u.: 1.512
Energy above the most stable polymorph in this dataset, kJ/mol of formula units: 14
Space group: Pm, No. 6
Total DFT energy (no corrections), eV for the cell shown: -37.871
Magnetization, μB per cell: 2.38

Cell and atoms, written as POSCAR:
```
CoReHOsO
1.0
-2.5669 -0.8984 0.9179
0.8911 -2.6942 -0.1449
3.4684 0.8213 6.0586
Re H Co Os O
1 1 1 1 1
direct
0.8734 0.0000 0.7761 Re
0.5746 0.0000 0.1894 H
0.1605 0.5000 0.3490 Co
0.4916 0.5000 0.0152 Os
0.7626 0.5000 0.5524 O
```

=====

# 2
This record from the Alexandria database describes crystalline CoReHOsO at its relaxed geometry. The functional is PBE with a Hubbard U.

Summary:
DOS at the Fermi energy, states/eV/f.u.: 2.159
Energy above the most stable polymorph in this dataset, kJ/mol of formula units: 7
Space group: Imm2, No. 44
Total DFT energy (no corrections), eV for the cell shown: -75.874
Magnetization, μB per cell: 5.12

Cell and atoms, written as POSCAR:
```
CoReHOsO
1.0
2.8465 0.0000 0.0000
0.0000 2.8712 0.0000
0.0000 0.0000 13.6142
Re Co H O Os
2 2 2 2 2
direct
0.5000 0.0000 0.6029 Re
0.0000 0.5000 0.1029 Re
0.5000 0.0000 0.8884 Co
0.0000 0.5000 0.3884 Co
0.5000 0.5000 0.3123 H
0.0000 0.0000 0.8123 H
0.0000 0.0000 0.4901 O
0.5000 0.5000 0.9901 O
0.0000 0.5000 0.7230 Os
0.5000 0.0000 0.2230 Os
```

=====

# 3
This record from the Alexandria database describes crystalline CoReHOsO at its relaxed geometry. The functional is PBE with a Hubbard U.

Summary:
DOS at the Fermi energy, states/eV/f.u.: 2.547
Energy above the most stable polymorph in this dataset, kJ/mol of formula units: 170
Space group: Pm, No. 6
Total DFT energy (no corrections), eV for the cell shown: -36.246
Magnetization, μB per cell: 1.74

Cell and atoms, written as POSCAR:
```
CoReHOsO
1.0
-0.4338 4.1065 1.7551
-2.2984 0.3689 -1.4313
-2.1770 -3.1828 2.6754
H Os O Co Re
1 1 1 1 1
direct
0.9809 0.0000 0.8995 H
0.1935 0.5000 0.4083 Os
0.7210 0.5000 0.0905 O
0.7188 0.0000 0.5388 Co
0.3666 0.0000 0.9257 Re
```

=====

# 4
This record from the Alexandria database describes crystalline CoReHOsO at its relaxed geometry. The functional is PBE with a Hubbard U.

Summary:
DOS at the Fermi energy, states/eV/f.u.: 2.123
Energy above the most stable polymorph in this dataset, kJ/mol of formula units: 11
Space group: Amm2, No. 38
Total DFT energy (no corrections), eV for the cell shown: -75.807
Magnetization, μB per cell: 5.08

Cell and atoms, written as POSCAR:
```
CoReHOsO
1.0
2.8418 0.0000 0.0000
0.0000 2.8348 0.0000
0.0000 0.0000 13.9728
H Re O Os Co
2 2 2 2 2
direct
0.0000 0.0000 0.4768 H
0.0000 0.5000 0.9768 H
0.5000 0.5000 0.7252 Re
0.5000 0.0000 0.2252 Re
0.5000 0.5000 0.3296 O
0.5000 0.0000 0.8296 O
0.0000 0.0000 0.6039 Os
0.0000 0.5000 0.1039 Os
0.5000 0.5000 0.4685 Co
0.5000 0.0000 0.9685 Co
```

=====

# 5
This record from the Alexandria database describes crystalline CoReHOsO at its relaxed geometry. The functional is PBE with a Hubbard U.

Summary:
DOS at the Fermi energy, states/eV/f.u.: 1.645
Energy above the most stable polymorph in this dataset, kJ/mol of formula units: 158
Space group: Cm, No. 8
Total DFT energy (no corrections), eV for the cell shown: -72.760
Magnetization, μB per cell: 4.09

Cell and atoms, written as POSCAR:
```
CoReHOsO
1.0
-0.6039 1.6325 -5.1930
-1.1562 -2.3388 -0.6008
-7.8756 3.1035 3.0745
Os O Co H Re
2 2 2 2 2
direct
0.9964 0.5000 0.1515 Os
0.9964 0.0000 0.6515 Os
0.3500 0.5000 0.0931 O
0.3500 0.0000 0.5931 O
0.8091 0.5000 0.8542 Co
0.8091 0.0000 0.3542 Co
0.1190 0.5000 0.7792 H
0.1190 0.0000 0.2792 H
0.6075 0.0000 0.0534 Re
0.6075 0.5000 0.5534 Re
```

=====

# 6
This record from the Alexandria database describes crystalline CoReHOsO at its relaxed geometry. The functional is PBE with a Hubbard U.

Summary:
DOS at the Fermi energy, states/eV/f.u.: 3.075
Energy above the most stable polymorph in this dataset, kJ/mol of formula units: 122
Space group: Pmm2, No. 25
Total DFT energy (no corrections), eV for the cell shown: -36.747
Magnetization, μB per cell: 0.34

Cell and atoms, written as POSCAR:
```
CoReHOsO
1.0
3.6655 0.0000 0.0000
0.0000 2.7336 0.0000
0.0000 0.0000 5.6063
O Re H Os Co
1 1 1 1 1
direct
0.0000 0.5000 0.4813 O
0.0000 0.0000 0.7556 Re
0.5000 0.0000 0.2250 H
0.5000 0.5000 0.9825 Os
0.5000 0.5000 0.4376 Co
```

=====

> The highest total DFT energy (no corrections) belongs to which entry?

number 3

=====

Copy entry 4 word for word.
This record from the Alexandria database describes crystalline CoReHOsO at its relaxed geometry. The functional is PBE with a Hubbard U.

Summary:
DOS at the Fermi energy, states/eV/f.u.: 2.123
Energy above the most stable polymorph in this dataset, kJ/mol of formula units: 11
Space group: Amm2, No. 38
Total DFT energy (no corrections), eV for the cell shown: -75.807
Magnetization, μB per cell: 5.08

Cell and atoms, written as POSCAR:
```
CoReHOsO
1.0
2.8418 0.0000 0.0000
0.0000 2.8348 0.0000
0.0000 0.0000 13.9728
H Re O Os Co
2 2 2 2 2
direct
0.0000 0.0000 0.4768 H
0.0000 0.5000 0.9768 H
0.5000 0.5000 0.7252 Re
0.5000 0.0000 0.2252 Re
0.5000 0.5000 0.3296 O
0.5000 0.0000 0.8296 O
0.0000 0.0000 0.6039 Os
0.0000 0.5000 0.1039 Os
0.5000 0.5000 0.4685 Co
0.5000 0.0000 0.9685 Co
```

=====

> What is the total DFT energy (no corrections) in the second record?

-75.874 eV for the cell shown

=====

> Which of these has the lowest energy above the most stable polymorph in this dataset?

number 2